This record from Alexandria via LeMat-Bulk describes a geometry-optimized BaCuB2 structure. The functional is GGA-PBE.

Summary:
Energy of formation from the pure elements ... 0.5988 eV per atom
Theoretical density ... 5.05 g/cm³
Distance to the lowest polymorph of the same formula ... 0.0 kJ/mol of atoms
Symmetry ... No. 141

Cell lengths 4.7453, 4.7453, 12.9893 Å; angles 90.00, 90.00, 90.00 degrees
Sites, in units of the cell vectors:
Ba (0.0000, 0.2500, 0.3750)
Ba (0.0000, 0.7500, 0.6250)
Ba (0.5000, 0.2500, 0.1250)
Ba (0.5000, 0.7500, 0.8750)
Cu (0.0000, 0.2500, 0.8750)
Cu (0.0000, 0.7500, 0.1250)
Cu (0.5000, 0.2500, 0.6250)
Cu (0.5000, 0.7500, 0.3750)
B (0.0000, 0.0000, 0.0000)
B (0.0000, 0.5000, 0.0000)
B (0.2500, 0.2500, 0.7500)
B (0.2500, 0.7500, 0.2500)
B (0.5000, 0.0000, 0.5000)
B (0.5000, 0.5000, 0.5000)
B (0.7500, 0.2500, 0.7500)
B (0.7500, 0.7500, 0.2500)